1.
CaMgSc2C | PBE-GGA | optimized geometry

Lattice parameters (Å, degrees): 4.573 4.573 5.223 90.00 90.00 90.00
Element x y z (fractional)
1 Ca 0.000 0.000 0.000
2 Mg 0.500 0.500 0.000
3 Sc 0.000 0.500 0.500
4 Sc 0.500 0.000 0.500
5 C 0.000 0.000 0.500

Computed properties:
For the formation energy, the calculation gives -0.66 eV per formula unit. For the energy, the calculation gives -5.2292 eV per atom. The value obtained for the density is 2.53 g/cm3. The space-group type is No. 123. The calculation puts the magnetic moment at 0.001 μB per formula unit.



2.
In3Re | PBE-GGA | optimized geometry

Lattice parameters (Å, degrees): 3.077 3.077 10.683 90.00 90.00 120.00
Element x y z (fractional)
1 In 0.000 0.000 0.000
2 In 0.333 0.667 0.286
3 In 0.333 0.667 0.714
4 Re 0.000 0.000 0.500

Computed properties:
For the formation energy, the calculation gives 2.01 eV per formula unit. As for the energy above the most stable polymorph in this dataset: 84 kJ/mol of formula units. For the energy, the calculation gives -4.6624 eV per atom. The value obtained for the density is 10.06 g/cm3. The space-group type is No. 187. The calculation puts the magnetic moment at 0.248 μB per formula unit.



Q: What is the magnetic moment in the first record?
A: 0.001 μB per formula unit



Please write out number 1 again, unchanged.
CaMgSc2C | PBE-GGA | optimized geometry

Lattice parameters (Å, degrees): 4.573 4.573 5.223 90.00 90.00 90.00
Element x y z (fractional)
1 Ca 0.000 0.000 0.000
2 Mg 0.500 0.500 0.000
3 Sc 0.000 0.500 0.500
4 Sc 0.500 0.000 0.500
5 C 0.000 0.000 0.500

Computed properties:
For the formation energy, the calculation gives -0.66 eV per formula unit. For the energy, the calculation gives -5.2292 eV per atom. The value obtained for the density is 2.53 g/cm3. The space-group type is No. 123. The calculation puts the magnetic moment at 0.001 μB per formula unit.



Q: The highest magnetic moment belongs to which entry?
A: In3Re



Q: The lowest energy belongs to which entry?
A: CaMgSc2C